Entry 1:
VASP calculation (GGA-PBE) on a geometry-optimized HoTmGaCo2 structure.

Summary:
Spin magnetization, μB/f.u.: 0.735
SG: Amm2, No. 38
Uncorrected energy, eV per atom: -5.6462

Unit cell a=3.846 b=6.762 c=6.762 alpha=32.08 beta=90.00 gamma=90.00
Element x y z (fractional)
Ho: 0.000 0.000 0.000
Tm: 0.000 0.733 0.733
Ga: 0.500 0.366 0.366
Co: 0.500 0.168 0.168
Co: 0.500 0.566 0.566

***

Entry 2:
VASP calculation (GGA-PBE) on a geometry-optimized TcAgPd structure.

Summary:
Spin magnetization, μB/f.u.: 0.226
Energy of formation from the pure elements, eV/atom: 0.85
SG: F-43m, No. 216
Energy above the lowest structure with this stoichiometry, meV per atom: 0
Uncorrected energy, eV per atom: -5.2652

Unit cell a=4.251 b=4.251 c=4.251 alpha=60.00 beta=60.00 gamma=60.00
Element x y z (fractional)
Tc: 0.000 0.000 0.000
Ag: 0.500 0.500 0.500
Pd: 0.750 0.750 0.750

***

Entry 3:
VASP calculation (GGA-PBE) on a geometry-optimized Sc3In2Au structure.

Summary:
Spin magnetization, μB/f.u.: 0.004
SG: P4/mmm, No. 123
Uncorrected energy, eV per atom: -5.1754

Unit cell a=3.374 b=3.374 c=11.388 alpha=90.00 beta=90.00 gamma=90.00
Element x y z (fractional)
Sc: 0.000 0.000 0.000
Sc: 0.000 0.000 0.351
Sc: 0.000 0.000 0.649
In: 0.500 0.500 0.176
In: 0.500 0.500 0.824
Au: 0.500 0.500 0.500

***

Entry 4:
VASP calculation (GGA-PBE) on a geometry-optimized AgHg2Pt structure.

Summary:
Spin magnetization, μB/f.u.: 0.001
Energy of formation from the pure elements, eV/atom: 0.15
SG: F-43m, No. 216
Uncorrected energy, eV per atom: -2.2219

Unit cell a=4.746 b=4.746 c=4.746 alpha=60.00 beta=60.00 gamma=60.00
Element x y z (fractional)
Ag: 0.000 0.000 0.000
Hg: 0.250 0.250 0.250
Hg: 0.500 0.500 0.500
Pt: 0.750 0.750 0.750

***

Entry 5:
VASP calculation (GGA-PBE) on a geometry-optimized BaNiSbAu structure.

Summary:
Spin magnetization, μB/f.u.: 0.083
SG: F-43m, No. 216
Energy above the lowest structure with this stoichiometry, meV per atom: 0
Uncorrected energy, eV per atom: -3.8075

Unit cell a=5.151 b=5.151 c=5.151 alpha=60.00 beta=60.00 gamma=60.00
Element x y z (fractional)
Ba: 0.000 0.000 0.000
Ni: 0.250 0.250 0.250
Sb: 0.500 0.500 0.500
Au: 0.750 0.750 0.750

***

Entry 6:
VASP calculation (GGA-PBE) on a geometry-optimized CuAg9 structure.

Summary:
Energy of formation from the pure elements, eV/atom: 0.03
SG: Pmmm, No. 47
Energy above the lowest structure with this stoichiometry, meV per atom: 11
Uncorrected energy, eV per atom: -2.8849

Unit cell a=2.914 b=4.095 c=14.575 alpha=90.00 beta=90.00 gamma=90.00
Element x y z (fractional)
Cu: 0.000 0.000 0.000
Ag: 0.000 0.000 0.194
Ag: 0.000 0.000 0.399
Ag: 0.000 0.000 0.601
Ag: 0.000 0.000 0.806
Ag: 0.500 0.500 0.094
Ag: 0.500 0.500 0.297
Ag: 0.500 0.500 0.500
Ag: 0.500 0.500 0.703
Ag: 0.500 0.500 0.906

***

Entry 7:
VASP calculation (GGA-PBE) on a geometry-optimized YTm2Cd3AgHg2 structure.

Summary:
Spin magnetization, μB/f.u.: 0.009
Energy of formation from the pure elements, eV/atom: -0.39
SG: Amm2, No. 38
Uncorrected energy, eV per atom: -2.7791

Unit cell a=4.001 b=7.829 c=7.829 alpha=120.16 beta=90.00 gamma=90.00
Element x y z (fractional)
Y: 0.000 0.000 0.000
Tm: 0.000 0.190 0.595
Tm: 0.000 0.595 0.190
Cd: 0.500 0.338 0.338
Cd: 0.500 0.595 0.851
Cd: 0.500 0.851 0.595
Ag: 0.000 0.592 0.592
Hg: 0.500 0.264 0.927
Hg: 0.500 0.927 0.264

***

Entry 8:
VASP calculation (GGA-PBE) on a geometry-optimized Na2HfZrIn2Pd2 structure.

Summary:
Spin magnetization, μB/f.u.: 0.004
SG: P-4m2, No. 115
Uncorrected energy, eV per atom: -4.8420

Unit cell a=4.739 b=4.739 c=6.704 alpha=90.00 beta=90.00 gamma=90.00
Element x y z (fractional)
Na: 0.000 0.500 0.250
Na: 0.500 0.000 0.750
Hf: 0.000 0.000 0.500
Zr: 0.500 0.500 0.000
In: 0.000 0.000 0.000
In: 0.500 0.500 0.500
Pd: 0.000 0.500 0.746
Pd: 0.500 0.000 0.254